No. 1
MnTc5 | meta-GGA SCAN | single point on PBEsol structure Values from VASP.

```
&SYSTEM
  ibrav = 0, nat = 6, ntyp = 2
/
ATOMIC_SPECIES
Tc 98.00 Tc.upf
Mn 54.94 Mn.upf
CELL_PARAMETERS angstrom
2.693 0.000 0.000
-1.346 4.892 -0.001
0.000 -1.572 6.107
ATOMIC_POSITIONS crystal
Tc 0.339 0.677 0.676
Tc 0.055 0.110 0.614
Tc 0.717 0.434 0.946
Tc 0.393 0.787 0.268
Tc 0.663 0.327 0.327
Mn 0.999 0.998 0.002
```

Space-group type: No. 8
Volume, Å³/cell: 80
Crystal system: monoclinic
ΔE to the lowest computed polymorph, meV/atom: 46
Total energy, eV/atom: -32.1842

=====

No. 2
TiTl2S4 | meta-GGA SCAN | single point on PBEsol structure Values from VASP.

```
&SYSTEM
  ibrav = 0, nat = 56, ntyp = 3
/
ATOMIC_SPECIES
S 32.06 S.upf
Tl 204.38 Tl.upf
Ti 47.87 Ti.upf
CELL_PARAMETERS angstrom
-5.609 -1.190 -2.671
3.325 -8.045 -3.398
-6.405 -10.256 18.015
ATOMIC_POSITIONS crystal
S 0.437 0.573 0.663
S 0.885 0.034 0.416
S 0.275 0.227 0.205
S 0.725 0.773 0.795
S 0.775 0.273 0.205
S 0.655 0.174 0.562
S 0.115 0.466 0.916
S 0.345 0.826 0.438
S 0.615 0.534 0.584
S 0.615 0.034 0.916
S 0.937 0.427 0.837
S 0.437 0.073 0.837
S 0.115 0.966 0.584
S 0.155 0.826 0.938
S 0.845 0.674 0.438
S 0.725 0.273 0.705
S 0.275 0.727 0.295
S 0.885 0.534 0.084
S 0.155 0.326 0.562
S 0.345 0.326 0.062
S 0.063 0.573 0.163
S 0.655 0.674 0.938
S 0.775 0.773 0.295
S 0.225 0.727 0.795
S 0.937 0.927 0.663
S 0.385 0.466 0.416
S 0.225 0.227 0.705
S 0.563 0.427 0.337
S 0.385 0.966 0.084
S 0.063 0.073 0.337
S 0.845 0.174 0.062
S 0.563 0.927 0.163
Tl 0.324 0.645 0.042
Tl 0.573 0.066 0.303
Tl 0.176 0.645 0.542
Tl 0.176 0.145 0.958
Tl 0.324 0.145 0.458
Tl 0.824 0.855 0.042
Tl 0.427 0.934 0.697
Tl 0.927 0.566 0.697
Tl 0.073 0.934 0.197
Tl 0.927 0.066 0.803
Tl 0.573 0.566 0.197
Tl 0.824 0.355 0.458
Tl 0.676 0.355 0.958
Tl 0.427 0.434 0.803
Tl 0.073 0.434 0.303
Tl 0.676 0.855 0.542
Ti 0.464 0.821 0.871
Ti 0.964 0.179 0.629
Ti 0.964 0.679 0.871
Ti 0.464 0.321 0.629
Ti 0.036 0.821 0.371
Ti 0.536 0.179 0.129
Ti 0.036 0.321 0.129
Ti 0.536 0.679 0.371
```

Formation energy (no corrections), eV per atom: -0.823
Space-group type: No. 61
Volume, Å³/cell: 1282
Crystal system: orthorhombic
Total energy, eV/atom: -29.2886

=====

No. 3
YTi2IrW | meta-GGA SCAN | single point on PBEsol structure Values from VASP.

```
&SYSTEM
  ibrav = 0, nat = 5, ntyp = 4
/
ATOMIC_SPECIES
W 183.84 W.upf
Ir 192.22 Ir.upf
Ti 47.87 Ti.upf
Y 88.91 Y.upf
CELL_PARAMETERS angstrom
-4.504 0.967 -0.556
-0.899 -4.515 -0.576
-0.735 -0.502 5.080
ATOMIC_POSITIONS crystal
W 0.500 0.500 0.500
Ir 0.000 0.000 0.000
Ti 0.000 0.500 0.000
Ti 0.500 0.000 0.000
Y 0.000 0.000 0.500
```

Space-group type: No. 123
Volume, Å³/cell: 111
Crystal system: tetragonal
Total energy, eV/atom: -39.3753

=====

No. 4
TaCo5 | meta-GGA SCAN | single point on PBEsol structure Values from VASP.

```
&SYSTEM
  ibrav = 0, nat = 6, ntyp = 2
/
ATOMIC_SPECIES
Co 58.93 Co.upf
Ta 180.95 Ta.upf
CELL_PARAMETERS angstrom
-4.224 1.663 0.705
-3.303 -2.739 1.642
-1.552 0.587 4.284
ATOMIC_POSITIONS crystal
Co 0.376 0.376 0.376
Co 0.376 0.376 0.872
Co 0.376 0.872 0.376
Co 0.872 0.376 0.376
Co 0.750 0.750 0.750
Ta 0.000 0.000 0.000
```

Space-group type: No. 216
Volume, Å³/cell: 69
Crystal system: cubic
Total energy, eV/atom: -25.5257

=====

No. 5
BeCoW2 | meta-GGA SCAN | single point on PBEsol structure Values from VASP.

```
&SYSTEM
  ibrav = 0, nat = 4, ntyp = 3
/
ATOMIC_SPECIES
W 183.84 W.upf
Be 9.01 Be.upf
Co 58.93 Co.upf
CELL_PARAMETERS angstrom
2.650 0.000 0.000
0.000 2.650 0.000
0.000 0.000 7.040
ATOMIC_POSITIONS crystal
W 0.000 0.000 0.242
W 0.000 0.000 0.758
Be 0.500 0.500 0.000
Co 0.500 0.500 0.500
```

Space-group type: No. 123
Volume, Å³/cell: 49
Crystal system: tetragonal
Total energy, eV/atom: -40.0929

=====

No. 6
SnHPd3 | meta-GGA SCAN | single point on PBEsol structure Values from VASP.

```
&SYSTEM
  ibrav = 0, nat = 5, ntyp = 3
/
ATOMIC_SPECIES
Pd 106.42 Pd.upf
Sn 118.71 Sn.upf
H 1.01 H.upf
CELL_PARAMETERS angstrom
-1.003 3.643 -1.383
-2.888 -1.654 -2.263
-2.617 0.429 3.027
ATOMIC_POSITIONS crystal
Pd 0.000 0.000 0.500
Pd 0.000 0.500 0.000
Pd 0.500 0.000 0.000
Sn 0.500 0.500 0.500
H 0.000 0.000 0.000
```

Space-group type: No. 221
Volume, Å³/cell: 65
Crystal system: cubic
Total energy, eV/atom: -27.8969

=====

No. 7
AgPb2Cl | meta-GGA SCAN | single point on PBEsol structure Values from VASP.

```
&SYSTEM
  ibrav = 0, nat = 4, ntyp = 3
/
ATOMIC_SPECIES
Ag 107.87 Ag.upf
Pb 207.20 Pb.upf
Cl 35.45 Cl.upf
CELL_PARAMETERS angstrom
-1.084 -4.552 -2.158
1.824 -4.342 2.091
-3.209 -3.270 2.358
ATOMIC_POSITIONS crystal
Ag 0.500 0.500 0.500
Pb 0.750 0.750 0.750
Pb 0.000 0.000 0.000
Cl 0.250 0.250 0.250
```

Formation energy (no corrections), eV per atom: -0.005
Space-group type: No. 216
Volume, Å³/cell: 97
Crystal system: cubic
Total energy, eV/atom: -47.7317

=====

No. 8
LaSbO2 | meta-GGA SCAN | single point on PBEsol structure Values from VASP.

```
&SYSTEM
  ibrav = 0, nat = 8, ntyp = 3
/
ATOMIC_SPECIES
Sb 121.76 Sb.upf
O 16.00 O.upf
La 138.91 La.upf
CELL_PARAMETERS angstrom
-0.321 -0.382 5.609
-1.543 -5.396 -0.455
6.013 1.420 -2.386
ATOMIC_POSITIONS crystal
Sb 0.500 0.500 0.000
Sb 0.750 0.250 0.500
O 0.911 0.375 0.250
O 0.625 0.661 0.750
O 0.125 0.089 0.750
O 0.339 0.875 0.250
La 0.250 0.750 0.500
La 0.000 0.000 0.000
```

Formation energy (no corrections), eV per atom: -1.783
Space-group type: No. 122
Volume, Å³/cell: 168
Crystal system: tetragonal
Total energy, eV/atom: -24.9904

=====

No. 9
CrAs3W | meta-GGA SCAN | single point on PBEsol structure Values from VASP.

```
&SYSTEM
  ibrav = 0, nat = 5, ntyp = 3
/
ATOMIC_SPECIES
As 74.92 As.upf
Cr 52.00 Cr.upf
W 183.84 W.upf
CELL_PARAMETERS angstrom
4.549 0.000 0.000
0.000 4.549 0.000
0.000 0.000 4.549
ATOMIC_POSITIONS crystal
As 0.000 0.500 0.000
As 0.500 0.000 0.000
As 0.000 0.000 0.500
Cr 0.000 0.000 0.000
W 0.500 0.500 0.500
```

Space-group type: No. 221
Volume, Å³/cell: 94
Crystal system: cubic
Total energy, eV/atom: -28.5801

=====

No. 10
Zn5Re | meta-GGA SCAN | single point on PBEsol structure Values from VASP.

```
&SYSTEM
  ibrav = 0, nat = 6, ntyp = 2
/
ATOMIC_SPECIES
Zn 65.41 Zn.upf
Re 186.21 Re.upf
CELL_PARAMETERS angstrom
-0.017 2.510 0.842
-2.908 -2.555 3.400
6.111 -0.691 2.182
ATOMIC_POSITIONS crystal
Zn 0.723 0.447 0.949
Zn 0.666 0.332 0.337
Zn 0.053 0.106 0.615
Zn 0.332 0.664 0.662
Zn 0.395 0.790 0.278
Re 0.997 0.995 0.993
```

Space-group type: No. 8
Volume, Å³/cell: 83
Crystal system: monoclinic
Total energy, eV/atom: -23.0497

=====

No. 11
NaLi4H10N5 | meta-GGA SCAN | single point on PBEsol structure Values from VASP.

```
&SYSTEM
  ibrav = 0, nat = 80, ntyp = 4
/
ATOMIC_SPECIES
Na 22.99 Na.upf
H 1.01 H.upf
Li 6.94 Li.upf
N 14.01 N.upf
CELL_PARAMETERS angstrom
6.567 0.061 -0.025
0.959 9.587 -0.033
1.868 1.108 10.833
ATOMIC_POSITIONS crystal
Na 0.445 0.054 0.155
Na 0.863 0.653 0.949
Na 0.049 0.448 0.353
Na 0.240 0.255 0.743
H 0.752 0.906 0.908
H 0.096 0.682 0.185
H 0.152 0.517 0.717
H 0.306 0.021 0.385
H 0.523 0.090 0.532
H 0.807 0.981 0.260
H 0.950 0.710 0.314
H 0.365 0.287 0.356
H 0.646 0.067 0.396
H 0.369 0.989 0.956
H 0.005 0.226 0.214
H 0.900 0.895 0.777
H 0.147 0.173 0.550
H 0.607 0.652 0.428
H 0.949 0.681 0.541
H 0.527 0.704 0.134
H 0.130 0.219 0.972
H 0.921 0.308 0.940
H 0.291 0.498 0.585
H 0.409 0.375 0.462
H 0.812 0.428 0.820
H 0.959 0.385 0.157
H 0.700 0.488 0.528
H 0.763 0.886 0.158
H 0.964 0.763 0.657
H 0.399 0.832 0.021
H 0.482 0.292 0.986
H 0.908 0.418 0.578
H 0.777 0.582 0.750
H 0.189 0.494 0.948
H 0.104 0.104 0.337
H 0.361 0.917 0.726
H 0.556 0.805 0.359
H 0.560 0.821 0.765
H 0.734 0.626 0.178
H 0.584 0.176 0.866
H 0.558 0.082 0.759
H 0.175 0.022 0.627
H 0.346 0.314 0.118
H 0.219 0.588 0.054
Li 0.907 0.110 0.800
Li 0.117 0.905 0.197
Li 0.604 0.401 0.201
Li 0.314 0.718 0.599
Li 0.584 0.390 0.707
Li 0.531 0.508 0.995
Li 0.198 0.801 0.893
Li 0.643 0.849 0.550
Li 0.001 0.000 0.999
Li 0.717 0.290 0.396
Li 0.962 0.985 0.504
Li 0.421 0.608 0.795
Li 0.194 0.800 0.402
Li 0.783 0.192 0.102
Li 0.393 0.595 0.307
Li 0.781 0.190 0.603
N 0.791 0.394 0.535
N 0.416 0.381 0.368
N 0.895 0.311 0.223
N 0.707 0.515 0.821
N 0.230 0.591 0.959
N 0.430 0.816 0.724
N 0.075 0.112 0.624
N 0.672 0.073 0.485
N 0.187 0.007 0.338
N 0.980 0.777 0.562
N 0.907 0.896 0.870
N 0.499 0.297 0.076
N 0.104 0.692 0.276
N 0.610 0.607 0.138
N 0.305 0.502 0.676
N 0.811 0.982 0.166
N 0.998 0.209 0.935
N 0.294 0.920 0.022
N 0.598 0.180 0.771
N 0.494 0.735 0.430
```

Space-group type: No. 1
Volume, Å³/cell: 682
Crystal system: triclinic
Total energy, eV/atom: -5.2996

=====

No. 12
MgNiHg | meta-GGA SCAN | single point on PBEsol structure Values from VASP.

```
&SYSTEM
  ibrav = 0, nat = 3, ntyp = 3
/
ATOMIC_SPECIES
Ni 58.69 Ni.upf
Hg 200.59 Hg.upf
Mg 24.30 Mg.upf
CELL_PARAMETERS angstrom
-1.716 -1.665 -2.161
2.147 -2.389 0.136
-2.601 0.078 4.408
ATOMIC_POSITIONS crystal
Ni 0.672 0.672 0.344
Hg 0.009 0.009 0.019
Mg 0.319 0.319 0.638
```

Space-group type: No. 107
Volume, Å³/cell: 48
Crystal system: tetragonal
Total energy, eV/atom: -29.8362